No. 1
## Ba3ReBi (meta-GGA SCAN)

Data for Ba3ReBi at its PBEsol-relaxed geometry.

ΔE_f, kJ per mole of atoms: 91.44
Volume, Å³/cell: 281
Raw total energy, eV/atom: -52.718

Unit cell a=6.5480 b=6.5480 c=6.5480 alpha=90.00 beta=90.00 gamma=90.00
Fractional positions:
Ba (0.0000, 0.0000, 0.5000)
Ba (0.0000, 0.5000, 0.0000)
Ba (0.5000, 0.0000, 0.0000)
Re (0.5000, 0.5000, 0.5000)
Bi (0.0000, 0.0000, 0.0000)

No. 2
## BaSrRe2Bi (meta-GGA SCAN)

Data for BaSrRe2Bi at its PBEsol-relaxed geometry.

ΔE_f, kJ per mole of atoms: 169.86
Volume, Å³/cell: 159
Raw total energy, eV/atom: -54.760

Unit cell a=5.1293 b=5.1293 c=6.0270 alpha=90.00 beta=90.00 gamma=90.00
Fractional positions:
Ba (0.0000, 0.0000, 0.0000)
Sr (0.5000, 0.5000, 0.0000)
Re (0.0000, 0.5000, 0.5000)
Re (0.5000, 0.0000, 0.5000)
Bi (0.0000, 0.0000, 0.5000)

No. 3
## BaBi2Rh2 (meta-GGA SCAN)

Data for BaBi2Rh2 at its PBEsol-relaxed geometry.

ΔE_f, kJ per mole of atoms: -45.69
Volume, Å³/cell: 129
Raw total energy, eV/atom: -53.324

Unit cell a=6.7469 b=6.7469 c=6.7469 alpha=139.39 beta=139.39 gamma=58.78
Fractional positions:
Ba (0.0000, 0.0000, 0.0000)
Bi (0.3589, 0.3589, 0.0000)
Bi (0.6411, 0.6411, 0.0000)
Rh (0.2500, 0.7500, 0.5000)
Rh (0.7500, 0.2500, 0.5000)

Copy entry 2 word for word.
## BaSrRe2Bi (meta-GGA SCAN)

Data for BaSrRe2Bi at its PBEsol-relaxed geometry.

ΔE_f, kJ per mole of atoms: 169.86
Volume, Å³/cell: 159
Raw total energy, eV/atom: -54.760

Unit cell a=5.1293 b=5.1293 c=6.0270 alpha=90.00 beta=90.00 gamma=90.00
Fractional positions:
Ba (0.0000, 0.0000, 0.0000)
Sr (0.5000, 0.5000, 0.0000)
Re (0.0000, 0.5000, 0.5000)
Re (0.5000, 0.0000, 0.5000)
Bi (0.0000, 0.0000, 0.5000)

Q: Which of these has the highest raw total energy?
A: Ba3ReBi

Q: Which of these has the highest ΔE_f?
A: BaSrRe2Bi